Record 1
Computed, not measured: a PBEsol-optimized structure of ScAsPdSe2 at the SCAN level of DFT.

```
data_ScAsPdSe2
_chemical_formula_sum 'Sc1 As1 Pd1 Se2'
_symmetry_space_group_name_H-M 'P 1'
_symmetry_Int_Tables_number 1
_cell_length_a 4.951
_cell_length_b 4.951
_cell_length_c 5.027
_cell_angle_alpha 90.00
_cell_angle_beta 90.00
_cell_angle_gamma 90.00
loop_
_symmetry_equiv_pos_as_xyz
'x,y,z'
loop_
_atom_site_label
_atom_site_fract_x
_atom_site_fract_y
_atom_site_fract_z
_atom_site_occupancy
Sc1 0.000 0.000 0.000 1
As1 0.000 0.000 0.500 1
Pd1 0.500 0.500 0.500 1
Se1 0.000 0.500 0.000 1
Se2 0.500 0.000 0.000 1
```

Results
ΔE_f (raw) ... 0.14 eV per atom
DOS at the Fermi energy ... 0.905 states/eV per atom



Record 2
Computed, not measured: a PBEsol-optimized structure of TaAs2PdSe at the SCAN level of DFT.

```
data_TaAs2PdSe
_chemical_formula_sum 'Ta1 As2 Pd1 Se1'
_symmetry_space_group_name_H-M 'P 1'
_symmetry_Int_Tables_number 1
_cell_length_a 4.922
_cell_length_b 4.922
_cell_length_c 4.847
_cell_angle_alpha 90.00
_cell_angle_beta 90.00
_cell_angle_gamma 90.00
loop_
_symmetry_equiv_pos_as_xyz
'x,y,z'
loop_
_atom_site_label
_atom_site_fract_x
_atom_site_fract_y
_atom_site_fract_z
_atom_site_occupancy
Ta1 0.000 0.000 0.000 1
As1 0.000 0.500 0.000 1
As2 0.500 0.000 0.000 1
Pd1 0.500 0.500 0.500 1
Se1 0.000 0.000 0.500 1
```

Results
ΔE_f (raw) ... 0.48 eV per atom
DOS at the Fermi energy ... 0.674 states/eV per atom